(1)
Below is an optimized crystal structure of ErAgSe2, with properties calculated at the PBE level.

abc: 4.0453 4.0453 5.7401
angles: 90.00 90.00 90.00
Last column: nearest neighbours and their distance in Å.
Fractional positions:
Er 0.0000 0.0000 0.0000  6 Se 2.86-2.87
Ag 0.5000 0.5000 0.5000  6 Se 2.86-2.87
Se 0.0000 0.0000 0.5000  4 Ag 2.86, 2 Er 2.87
Se 0.5000 0.5000 0.0000  4 Er 2.86, 2 Ag 2.87

Density of states at the Fermi level in states/eV/cell: 1.56
Symmetry: P4/mmm
Formation energy (no corrections) in meV/atom: -1088
Electronic total energy in eV per atom: -4.6840

(2)
Below is an optimized crystal structure of MnNbTePb2, with properties calculated at the PBE level.

abc: 5.5821 5.5821 5.2901
angles: 90.00 90.00 90.00
Last column: nearest neighbours and their distance in Å.
Fractional positions:
Mn 0.0000 0.0000 0.0000  8 Pb 3.85, 4 Te 3.95
Nb 0.5000 0.5000 0.5000  2 Te 2.65, 4 Pb 2.79
Te 0.5000 0.5000 0.0000  2 Nb 2.65
Pb 0.0000 0.5000 0.5000  2 Nb 2.79
Pb 0.5000 0.0000 0.5000  2 Nb 2.79

Density of states at the Fermi level in states/eV/cell: 3.43
Symmetry: P4/mmm
Formation energy (no corrections) in meV/atom: 722
Electronic total energy in eV per atom: -5.2373

(3)
Below is an optimized crystal structure of Ba2Sr3Zn4, with properties calculated at the PBE level.

abc: 9.1193 8.6340 8.6360
angles: 90.00 104.17 90.00
Last column: nearest neighbours and their distance in Å.
Fractional positions:
Ba 0.1973 0.1765 0.0972  6 Zn 3.46-3.80
Ba 0.1973 0.3235 0.5972  6 Zn 3.46-3.80
Ba 0.8027 0.6765 0.4028  6 Zn 3.46-3.80
Ba 0.8027 0.8235 0.9028  6 Zn 3.46-3.80
Sr 0.2349 0.6791 0.2523  6 Zn 3.29-3.50
Sr 0.2349 0.8209 0.7523  6 Zn 3.29-3.50
Sr 0.5000 0.0000 0.5000  6 Zn 3.51-3.66
Sr 0.5000 0.5000 0.0000  6 Zn 3.51-3.66
Sr 0.7651 0.1791 0.2477  6 Zn 3.29-3.50
Sr 0.7651 0.3209 0.7477  6 Zn 3.29-3.50
Zn 0.0867 0.5228 0.9010  1 Zn 2.63
Zn 0.0867 0.9772 0.4010  1 Zn 2.63
Zn 0.4950 0.6073 0.6039  1 Zn 2.60
Zn 0.4950 0.8927 0.1039  1 Zn 2.60
Zn 0.5050 0.1073 0.8961  1 Zn 2.60
Zn 0.5050 0.3927 0.3961  1 Zn 2.60
Zn 0.9133 0.0228 0.5990  1 Zn 2.63
Zn 0.9133 0.4772 0.0990  1 Zn 2.63

Density of states at the Fermi level in states/eV/cell: 18.99
Energy relative to the elements in eV per atom: -0.15
Symmetry: P2_1/c
Electronic total energy in eV per atom: -1.7011

(4)
Below is an optimized crystal structure of La2Si4Ni3Pd, with properties calculated at the PBE level.

abc: 4.1408 4.1408 9.7875
angles: 90.00 90.00 90.00
Last column: nearest neighbours and their distance in Å.
Fractional positions:
La 0.0000 0.5000 0.2426  8 Si 3.15-3.17, 6 Ni 3.17-3.26, 2 Pd 3.26
La 0.5000 0.0000 0.7574  8 Si 3.15-3.17, 6 Ni 3.17-3.26, 2 Pd 3.26
Si 0.0000 0.0000 0.0000  4 Ni 2.37
Si 0.0000 0.5000 0.6339  3 Ni 2.42-2.45, 2 Pd 2.45
Si 0.5000 0.0000 0.3661  3 Ni 2.42-2.45, 2 Pd 2.45
Si 0.5000 0.5000 0.0000  4 Ni 2.37
Ni 0.0000 0.5000 0.8813  5 Si 2.37-2.42
Ni 0.5000 0.0000 0.1187  5 Si 2.37-2.42
Ni 0.5000 0.5000 0.5000  4 Si 2.45
Pd 0.0000 0.0000 0.5000  4 Si 2.45

Density of states at the Fermi level in states/eV/cell: 7.69
Symmetry: P-4m2
Formation energy (no corrections) in meV/atom: -814
Electronic total energy in eV per atom: -6.2220

(5)
Below is an optimized crystal structure of Li2Mg8Ni, with properties calculated at the PBE level.

abc: 8.2284 8.2284 5.9301
angles: 94.20 94.20 32.99
Last column: nearest neighbours and their distance in Å.
Fractional positions:
Li 0.1490 0.1490 0.1694  8 Mg 2.81-3.05
Li 0.8510 0.8510 0.8306  8 Mg 2.81-3.05
Mg 0.0322 0.0322 0.7672  2 Ni 2.78, 2 Li 2.90-2.91, 2 Mg 3.01-3.11
Mg 0.2192 0.2192 0.6348  1 Li 2.89, 7 Mg 3.03-3.15
Mg 0.3374 0.3374 0.0874  1 Ni 2.66, 2 Li 2.81
Mg 0.4127 0.4127 0.5923  1 Ni 2.69, 2 Li 2.94
Mg 0.5873 0.5873 0.4077  1 Ni 2.69, 2 Li 2.94
Mg 0.6626 0.6626 0.9126  1 Ni 2.66, 2 Li 2.81
Mg 0.7808 0.7808 0.3652  1 Li 2.89, 7 Mg 3.03-3.15
Mg 0.9678 0.9678 0.2328  2 Ni 2.78, 2 Li 2.90-2.91, 2 Mg 3.01-3.11
Ni 0.5000 0.5000 0.0000  8 Mg 2.66-2.78

Density of states at the Fermi level in states/eV/cell: 4.15
Energy relative to the elements in eV per atom: -0.06
Energy above the most stable polymorph in this dataset in meV/atom: 0
Symmetry: C2/m
Electronic total energy in eV per atom: -2.0918

(6)
Below is an optimized crystal structure of Li3HfBe, with properties calculated at the PBE level.

abc: 5.1900 5.1900 5.1900
angles: 90.00 90.00 90.00
Last column: nearest neighbours and their distance in Å.
Fractional positions:
Li 0.0000 0.0000 0.5000  2 Hf 2.59
Li 0.0000 0.5000 0.0000  2 Hf 2.59
Li 0.5000 0.0000 0.0000  2 Hf 2.59
Hf 0.0000 0.0000 0.0000  6 Li 2.59
Be 0.5000 0.5000 0.5000  12 Li 3.67

Density of states at the Fermi level in states/eV/cell: 4.57
Energy relative to the elements in eV per atom: 1.76
Energy above the most stable polymorph in this dataset in meV/atom: 1068
Symmetry: Pm-3m
Electronic total energy in eV per atom: -2.1270

(7)
Below is an optimized crystal structure of LiTm2F8, with properties calculated at the PBE level.

abc: 5.7909 5.7909 4.5127
angles: 107.12 107.12 72.54
Last column: nearest neighbours and their distance in Å.
Fractional positions:
Li 0.0000 0.0000 0.0000  6 F 1.92-2.00
Tm 0.3225 0.3225 0.6025  7 F 2.19-2.30
Tm 0.6775 0.6775 0.3975  7 F 2.19-2.30
F 0.0369 0.6450 0.7617  1 Li 2.00, 2 Tm 2.19-2.24
F 0.0997 0.0997 0.6948  1 Li 1.92, 1 F 2.04
F 0.3550 0.9631 0.2383  1 Li 2.00, 2 Tm 2.19-2.24
F 0.4197 0.4197 0.2015  2 Tm 2.24-2.30
F 0.5803 0.5803 0.7985  2 Tm 2.24-2.30
F 0.6450 0.0369 0.7617  1 Li 2.00, 2 Tm 2.19-2.24
F 0.9003 0.9003 0.3052  1 Li 1.92, 1 F 2.04
F 0.9631 0.3550 0.2383  1 Li 2.00, 2 Tm 2.19-2.24

Energy above the most stable polymorph in this dataset in meV/atom: 0
Symmetry: C2/m
Formation energy (no corrections) in meV/atom: -3520
Electronic total energy in eV per atom: -5.8681

(8)
Below is an optimized crystal structure of Nd3Ag2Au3, with properties calculated at the PBE level.

abc: 8.8394 8.8394 5.9732
angles: 90.00 90.00 120.00
Last column: nearest neighbours and their distance in Å.
Fractional positions:
Nd 0.0000 0.2875 0.2500  5 Au 2.98-3.08
Nd 0.0000 0.7125 0.7500  5 Au 2.98-3.08
Nd 0.2875 0.0000 0.2500  5 Au 2.98-3.08
Nd 0.2875 0.2875 0.7500  5 Au 2.98-3.08
Nd 0.7125 0.0000 0.7500  5 Au 2.98-3.08
Nd 0.7125 0.7125 0.2500  5 Au 2.98-3.08
Ag 0.3333 0.6667 0.0000  2 Ag 2.99, 6 Au 3.16
Ag 0.3333 0.6667 0.5000  2 Ag 2.99, 6 Au 3.16
Ag 0.6667 0.3333 0.0000  2 Ag 2.99, 6 Au 3.16
Ag 0.6667 0.3333 0.5000  2 Ag 2.99, 6 Au 3.16
Au 0.0000 0.3749 0.7500  5 Nd 2.98-3.08, 4 Ag 3.16
Au 0.0000 0.6251 0.2500  5 Nd 2.98-3.08, 4 Ag 3.16
Au 0.3749 0.0000 0.7500  5 Nd 2.98-3.08, 4 Ag 3.16
Au 0.3749 0.3749 0.2500  5 Nd 2.98-3.08, 4 Ag 3.16
Au 0.6251 0.0000 0.2500  5 Nd 2.98-3.08, 4 Ag 3.16
Au 0.6251 0.6251 0.7500  5 Nd 2.98-3.08, 4 Ag 3.16

Density of states at the Fermi level in states/eV/cell: 14.18
Energy relative to the elements in eV per atom: -0.54
Symmetry: P6_3/mcm
Electronic total energy in eV per atom: -4.2668